No. 1
Computed, not measured: a relaxed structure of MgNb2NF at the PBE level of DFT.

Summary:
- space-group type = No. 123
- electronic total energy (eV per atom) = -6.56
- size of the total moment (μB/atom) = 0.000
- formation energy (no corrections) (eV/atom) = -0.175

Cell: 4.2468 4.2468 4.2519 Å, 90.00 90.00 90.00°
Positions (direct):
Mg 0.0000 0.0000 0.0000
Nb 0.0000 0.5000 0.5000
Nb 0.5000 0.0000 0.5000
N 0.0000 0.0000 0.5000
F 0.5000 0.5000 0.0000


No. 2
Computed, not measured: a relaxed structure of Hf2GaBW at the PBE level of DFT.

Summary:
- space-group type = No. 123
- electronic total energy (eV per atom) = -8.36
- size of the total moment (μB/atom) = 0.000
- energy of formation (kJ/mol of formula units) = 74

Cell: 4.6349 4.6349 3.8885 Å, 90.00 90.00 90.00°
Positions (direct):
Hf 0.0000 0.5000 0.0000
Hf 0.5000 0.0000 0.0000
Ga 0.0000 0.0000 0.5000
B 0.0000 0.0000 0.0000
W 0.5000 0.5000 0.5000


No. 3
Computed, not measured: a relaxed structure of K3NbBr at the PBE level of DFT.

Summary:
- space-group type = No. 221
- ΔE to the lowest computed polymorph (eV/atom) = 0.000
- electronic total energy (eV per atom) = -2.67
- size of the total moment (μB/atom) = 1.000
- formation energy (no corrections) (eV/atom) = 0.338

Cell: 6.2375 6.2375 6.2375 Å, 90.00 90.00 90.00°
Positions (direct):
K 0.0000 0.0000 0.5000
K 0.0000 0.5000 0.0000
K 0.5000 0.0000 0.0000
Nb 0.5000 0.5000 0.5000
Br 0.0000 0.0000 0.0000


No. 4
Computed, not measured: a relaxed structure of Tm12Pd6Ru at the PBE level of DFT.

Summary:
- space-group type = No. 148
- electronic total energy (eV per atom) = -5.51
- size of the total moment (μB/atom) = 0.000
- energy of formation (kJ/mol of formula units) = -1015

Cell: 8.1172 8.1172 8.1172 Å, 99.55 99.55 99.55°
Positions (direct):
Tm 0.0387 0.9202 0.6805
Tm 0.0798 0.3195 0.9613
Tm 0.1789 0.5740 0.4177
Tm 0.3195 0.9613 0.0798
Tm 0.4177 0.1789 0.5740
Tm 0.4260 0.5823 0.8211
Tm 0.5740 0.4177 0.1789
Tm 0.5823 0.8211 0.4260
Tm 0.6805 0.0387 0.9202
Tm 0.8211 0.4260 0.5823
Tm 0.9202 0.6805 0.0387
Tm 0.9613 0.0798 0.3195
Pd 0.1345 0.3144 0.6231
Pd 0.3144 0.6231 0.1345
Pd 0.3769 0.8655 0.6856
Pd 0.6231 0.1345 0.3144
Pd 0.6856 0.3769 0.8655
Pd 0.8655 0.6856 0.3769
Ru 0.0000 0.0000 0.0000


What did the second record say?
Computed, not measured: a relaxed structure of Hf2GaBW at the PBE level of DFT.

Summary:
- space-group type = No. 123
- electronic total energy (eV per atom) = -8.36
- size of the total moment (μB/atom) = 0.000
- energy of formation (kJ/mol of formula units) = 74

Cell: 4.6349 4.6349 3.8885 Å, 90.00 90.00 90.00°
Positions (direct):
Hf 0.0000 0.5000 0.0000
Hf 0.5000 0.0000 0.0000
Ga 0.0000 0.0000 0.5000
B 0.0000 0.0000 0.0000
W 0.5000 0.5000 0.5000


> Which of these has the highest size of the total moment?

K3NbBr


> Which formula does entry 1 have?

MgNb2NF